The following is a PBE calculation of a relaxed Pa2Mn2Re crystal, from Alexandria via LeMat-Bulk.

Results
theoretical density	13.94	Mg/m³
formation enthalpy at 0 K	-0.057	eV/atom
E_tot	-0.3680	hartree per atom
magnetic moment	0.000	μB/atom

a b c (Å): 5.567 5.567 7.936
angles (deg): 78.51 78.51 48.83
Atoms (fractional coordinates):
Mn 0.980 0.741 0.024
Mn 0.741 0.980 0.524
Mn 0.020 0.259 0.976
Mn 0.259 0.020 0.476
Pa 0.461 0.254 0.138
Pa 0.746 0.539 0.362
Pa 0.539 0.746 0.862
Pa 0.254 0.461 0.638
Re 0.907 0.093 0.750
Re 0.093 0.907 0.250